# 1
## Mo2RuW (SCAN)

Data for a PBEsol-optimized structure of Mo2RuW. Values from VASP.

Cell and atoms, written as Quantum ESPRESSO input:
```
&SYSTEM
  ibrav = 0, nat = 4, ntyp = 3
/
ATOMIC_SPECIES
Ru 101.07 Ru.upf
W 183.84 W.upf
Mo 95.94 Mo.upf
ATOMIC_POSITIONS crystal
Ru 0.500 0.000 0.000
W 0.000 0.500 0.000
Mo 0.762 0.760 0.525
Mo 0.238 0.240 0.475
CELL_PARAMETERS angstrom
2.751 0.000 0.000
0.000 4.744 0.012
-1.375 -0.819 4.600
```

DFT formation energy, eV per atom: 0.258
Distance to the lowest polymorph of the same formula, meV per atom: 0
Space-group type: C2/m (12)
V, Å³ per atom: 15.01

# 2
## LiAg2As (SCAN)

Data for a PBEsol-optimized structure of LiAg2As. Values from VASP.

Cell and atoms, written as Quantum ESPRESSO input:
```
&SYSTEM
  ibrav = 0, nat = 4, ntyp = 3
/
ATOMIC_SPECIES
Li 6.94 Li.upf
As 74.92 As.upf
Ag 107.87 Ag.upf
ATOMIC_POSITIONS crystal
Li 0.250 0.250 0.250
As 0.500 0.500 0.500
Ag 0.000 0.000 0.000
Ag 0.750 0.750 0.750
CELL_PARAMETERS angstrom
4.523 0.000 0.000
2.261 3.917 0.000
2.261 1.306 3.693
```

DFT formation energy, eV per atom: -0.162
Space-group type: F-43m (216)
V, Å³ per atom: 16.36

# 3
## Ba2Ce2O5 (SCAN)

Data for a PBEsol-optimized structure of Ba2Ce2O5. Values from VASP.

Cell and atoms, written as Quantum ESPRESSO input:
```
&SYSTEM
  ibrav = 0, nat = 18, ntyp = 3
/
ATOMIC_SPECIES
O 16.00 O.upf
Ba 137.33 Ba.upf
Ce 140.12 Ce.upf
ATOMIC_POSITIONS crystal
O 0.500 0.403 0.294
O 0.500 0.597 0.706
O 0.000 0.692 0.398
O 0.000 0.308 0.602
O 0.500 0.000 0.500
O 0.500 0.903 0.206
O 0.500 0.500 0.000
O 0.500 0.097 0.794
O 0.000 0.192 0.102
O 0.000 0.808 0.898
Ba 0.000 0.252 0.896
Ba 0.000 0.748 0.104
Ba 0.000 0.248 0.396
Ba 0.000 0.752 0.604
Ce 0.500 0.753 0.862
Ce 0.500 0.247 0.138
Ce 0.500 0.747 0.362
Ce 0.500 0.253 0.638
CELL_PARAMETERS angstrom
4.398 0.000 0.000
0.000 6.143 0.000
0.000 0.000 12.694
```

Space-group type: Pbam (55)
E_form (uncorrected), meV per atom: -3239
V, Å³ per atom: 19.05

# 4
## BaLi2P (SCAN)

Data for a PBEsol-optimized structure of BaLi2P. Values from VASP.

Cell and atoms, written as Quantum ESPRESSO input:
```
&SYSTEM
  ibrav = 0, nat = 4, ntyp = 3
/
ATOMIC_SPECIES
Li 6.94 Li.upf
Ba 137.33 Ba.upf
P 30.97 P.upf
ATOMIC_POSITIONS crystal
Li 0.750 0.750 0.750
Li 0.000 0.000 0.000
Ba 0.250 0.250 0.250
P 0.500 0.500 0.500
CELL_PARAMETERS angstrom
-1.411 -4.333 -2.278
2.861 -1.967 -3.728
2.644 -4.280 0.806
```

DFT formation energy, eV per atom: -0.361
Space-group type: F-43m (216)
V, Å³ per atom: 23.37

# 5
## ZnAg2As2 (SCAN)

Data for a PBEsol-optimized structure of ZnAg2As2. Values from VASP.

Cell and atoms, written as Quantum ESPRESSO input:
```
&SYSTEM
  ibrav = 0, nat = 5, ntyp = 3
/
ATOMIC_SPECIES
Ag 107.87 Ag.upf
Zn 65.41 Zn.upf
As 74.92 As.upf
ATOMIC_POSITIONS crystal
Ag 0.407 0.407 0.813
Ag 0.593 0.593 0.187
Zn 0.000 0.000 0.000
As 0.750 0.250 0.500
As 0.250 0.750 0.500
CELL_PARAMETERS angstrom
3.687 0.000 0.000
0.000 3.687 0.000
-1.843 -1.843 6.975
```

DFT formation energy, eV per atom: 0.309
Space-group type: I4/mmm (139)
V, Å³ per atom: 18.96

# 6
## Mg2NbCl (SCAN)

Data for a PBEsol-optimized structure of Mg2NbCl. Values from VASP.

Cell and atoms, written as Quantum ESPRESSO input:
```
&SYSTEM
  ibrav = 0, nat = 4, ntyp = 3
/
ATOMIC_SPECIES
Nb 92.91 Nb.upf
Cl 35.45 Cl.upf
Mg 24.30 Mg.upf
ATOMIC_POSITIONS crystal
Nb 0.500 0.500 0.500
Cl 0.000 0.000 0.000
Mg 0.750 0.750 0.750
Mg 0.250 0.250 0.250
CELL_PARAMETERS angstrom
-2.575 -4.226 -0.070
1.378 -3.688 -2.999
1.966 -4.127 1.896
```

Space-group type: Fm-3m (225)
E_form (uncorrected), meV per atom: 660
V, Å³ per atom: 21.43

# 7
## CuNi2Rh (SCAN)

Data for a PBEsol-optimized structure of CuNi2Rh. Values from VASP.

Cell and atoms, written as Quantum ESPRESSO input:
```
&SYSTEM
  ibrav = 0, nat = 4, ntyp = 3
/
ATOMIC_SPECIES
Ni 58.69 Ni.upf
Rh 102.91 Rh.upf
Cu 63.55 Cu.upf
ATOMIC_POSITIONS crystal
Ni 0.000 0.000 0.006
Ni 0.500 0.500 0.238
Rh 0.000 0.000 0.493
Cu 0.500 0.500 0.763
CELL_PARAMETERS angstrom
-1.789 1.492 1.090
-0.253 -1.701 1.912
4.956 3.311 3.602
```

DFT formation energy, eV per atom: 0.067
Space-group type: P4mm (99)
V, Å³ per atom: 11.51

# 8
## RbLiSO4 (SCAN)

Data for a PBEsol-optimized structure of RbLiSO4. Values from VASP.

Cell and atoms, written as Quantum ESPRESSO input:
```
&SYSTEM
  ibrav = 0, nat = 28, ntyp = 4
/
ATOMIC_SPECIES
O 16.00 O.upf
Li 6.94 Li.upf
S 32.06 S.upf
Rb 85.47 Rb.upf
ATOMIC_POSITIONS crystal
O 0.742 0.463 0.593
O 0.636 0.726 0.788
O 0.364 0.274 0.212
O 0.416 0.247 0.947
O 0.007 0.732 0.948
O 0.258 0.537 0.407
O 0.758 0.963 0.907
O 0.493 0.232 0.552
O 0.242 0.037 0.093
O 0.864 0.226 0.712
O 0.993 0.268 0.052
O 0.084 0.747 0.553
O 0.507 0.768 0.448
O 0.916 0.253 0.447
O 0.584 0.753 0.053
O 0.136 0.774 0.288
Li 0.742 0.682 0.591
Li 0.258 0.318 0.409
Li 0.242 0.818 0.091
Li 0.758 0.182 0.909
S 0.253 0.207 0.076
S 0.747 0.793 0.924
S 0.753 0.293 0.576
S 0.247 0.707 0.424
Rb 0.232 0.494 0.770
Rb 0.268 0.994 0.730
Rb 0.768 0.506 0.230
Rb 0.732 0.006 0.270
CELL_PARAMETERS angstrom
5.267 0.000 0.011
0.000 8.699 0.000
0.017 0.000 9.074
```

Space-group type: P2_1/c (14)
E_form (uncorrected), meV per atom: -2135
V, Å³ per atom: 14.85